A plane-wave DFT calculation with PBE-GGA was carried out for a relaxed structure of Mg3Si3Pd2.

Values from the calculation:
- calculated density (g cm⁻³) = 4.49
- density of states at the Fermi level (states/eV per cell) = 7.7
- crystal system = orthorhombic
- total magnetization (μB per cell) = 0.000
- formation energy (no corrections) (eV per atom) = -0.37
- electronic total energy (Ry/atom) = -0.3157

CIF file:
```
data_Mg3Si3Pd2
_chemical_formula_sum 'Mg12 Si12 Pd8'
_cell_length_a 5.1547
_cell_length_b 6.6110
_cell_length_c 16.0498
_cell_angle_alpha 90.00
_cell_angle_beta 90.00
_cell_angle_gamma 90.00
_space_group_name_H-M_alt 'P 1'
_space_group_IT_number 1
_space_group_name_Hall 'P 1'
loop_
_atom_site_label
_atom_site_fract_x
_atom_site_fract_y
_atom_site_fract_z
Si1 0.0987 0.1844 0.5230
Si2 0.4013 0.6844 0.5230
Si3 0.3614 0.6780 0.2500
Si4 0.9013 0.8156 0.4770
Si5 0.0987 0.1844 0.9770
Si6 0.5987 0.3156 0.0230
Si7 0.9013 0.8156 0.0230
Si8 0.8614 0.8220 0.7500
Si9 0.1386 0.1780 0.2500
Si10 0.4013 0.6844 0.9770
Si11 0.6386 0.3220 0.7500
Si12 0.5987 0.3156 0.4770
Pd1 0.6047 0.6198 0.3837
Pd2 0.1047 0.8802 0.6163
Pd3 0.1047 0.8802 0.8837
Pd4 0.8953 0.1198 0.3837
Pd5 0.6047 0.6198 0.1163
Pd6 0.8953 0.1198 0.1163
Pd7 0.3953 0.3802 0.8837
Pd8 0.3953 0.3802 0.6163
Mg1 0.6344 0.3210 0.2500
Mg2 0.8656 0.8210 0.2500
Mg3 0.3874 0.9886 0.3789
Mg4 0.1126 0.4886 0.1211
Mg5 0.8874 0.5114 0.6211
Mg6 0.6126 0.0114 0.6211
Mg7 0.6126 0.0114 0.8789
Mg8 0.1344 0.1790 0.7500
Mg9 0.3656 0.6790 0.7500
Mg10 0.1126 0.4886 0.3789
Mg11 0.8874 0.5114 0.8789
Mg12 0.3874 0.9886 0.1211
```

=====

A plane-wave DFT calculation with PBE-GGA was carried out for a relaxed structure of Gd2TiAl.

Values from the calculation:
- calculated density (g cm⁻³) = 6.91
- density of states at the Fermi level (states/eV per cell) = 5.1
- crystal system = tetragonal
- total magnetization (μB per cell) = 13.977
- calculated formation energy (eV/atom) = -0.05
- electronic total energy (Ry/atom) = -0.7353
- E above lowest polymorph (meV per atom) = 0

CIF file:
```
data_Gd2TiAl
_chemical_formula_sum 'Gd2 Ti1 Al1'
_cell_length_a 4.5036
_cell_length_b 4.5579
_cell_length_c 4.5579
_cell_angle_alpha 90.00
_cell_angle_beta 90.00
_cell_angle_gamma 90.00
_space_group_name_H-M_alt 'P 1'
_space_group_IT_number 1
_space_group_name_Hall 'P 1'
loop_
_atom_site_label
_atom_site_fract_x
_atom_site_fract_y
_atom_site_fract_z
Gd1 0.0000 0.0000 0.5000
Gd2 0.0000 0.5000 0.0000
Al1 0.5000 0.5000 0.5000
Ti1 0.5000 0.0000 0.0000
```

=====

A plane-wave DFT calculation with PBE-GGA was carried out for a relaxed structure of Te2SeBr.

Values from the calculation:
- calculated density (g cm⁻³) = 6.73
- density of states at the Fermi level (states/eV per cell) = 2.9
- crystal system = tetragonal
- total magnetization (μB per cell) = 0.000
- formation energy (no corrections) (eV per atom) = 0.41
- electronic total energy (Ry/atom) = -0.1800
- E above lowest polymorph (meV per atom) = 471

CIF file:
```
data_Te2SeBr
_chemical_formula_sum 'Te2 Se1 Br1'
_cell_length_a 5.4171
_cell_length_b 5.4171
_cell_length_c 5.4171
_cell_angle_alpha 125.21
_cell_angle_beta 125.21
_cell_angle_gamma 81.19
_space_group_name_H-M_alt 'P 1'
_space_group_IT_number 1
_space_group_name_Hall 'P 1'
loop_
_atom_site_label
_atom_site_fract_x
_atom_site_fract_y
_atom_site_fract_z
Te1 0.5000 0.5000 0.0000
Te2 0.0000 0.0000 0.0000
Br1 0.2500 0.7500 0.5000
Se1 0.7500 0.2500 0.5000
```

=====

A plane-wave DFT calculation with PBE-GGA was carried out for a relaxed structure of Li2CaPbCl6.

Values from the calculation:
- calculated density (g cm⁻³) = 3.15
- density of states at the Fermi level (states/eV per cell) = 0.0
- crystal system = trigonal
- total magnetization (μB per cell) = 0.000
- formation energy (no corrections) (eV per atom) = -1.77
- electronic total energy (Ry/atom) = -0.2816

CIF file:
```
data_Li2CaPbCl6
_chemical_formula_sum 'Li2 Ca1 Pb1 Cl6'
_cell_length_a 6.8521
_cell_length_b 6.8520
_cell_length_c 7.3005
_cell_angle_alpha 62.01
_cell_angle_beta 62.01
_cell_angle_gamma 60.00
_space_group_name_H-M_alt 'P 1'
_space_group_IT_number 1
_space_group_name_Hall 'P 1'
loop_
_atom_site_label
_atom_site_fract_x
_atom_site_fract_y
_atom_site_fract_z
Cl1 0.7384 0.1465 0.7517
Cl2 0.2452 0.8890 0.2457
Cl3 0.6201 0.2452 0.2457
Cl4 0.8889 0.6201 0.2457
Cl5 0.1466 0.3634 0.7517
Cl6 0.3634 0.7383 0.7517
Li1 0.5162 0.5162 0.4514
Li2 0.0169 0.0169 0.9494
Ca1 0.3149 0.3149 0.0553
Pb1 0.8110 0.8111 0.5668
```

=====

Q: Which of these has the highest calculated density?
A: Gd2TiAl